Here is a relaxed structure of CaNb2BiPt from the Alexandria database. Energies are from PBE.

The structure in POSCAR format:
```
CaNb2BiPt
1.0
4.985 0.000 0.000
0.000 4.985 0.000
0.000 0.000 5.426
Ca Nb Bi Pt
1 2 1 1
Direct
0.000 0.000 0.000
0.000 0.500 0.500
0.500 0.000 0.500
0.500 0.500 0.000
0.000 0.000 0.500
```

DFT formation energy = 39.4 kJ/mol of atoms
V = 134.84 Å³ per cell
crystal system = tetragonal
space-group type = P4/mmm (123)
spin magnetization = 1.862 μB/f.u.